Entry 1:
A relaxed structure of BeGeC3, computed with PBE-GGA.

Output
The calculation puts the energy above the lowest structure with this stoichiometry at 0.0000 eV/atom. The calculation puts the final energy at -24.0 eV for the cell shown.

The structure in POSCAR format:
```
BeGeC3
1.0
3.6621 0.0000 0.0000
0.0000 3.6621 0.0000
0.0000 0.0000 3.6621
Be Ge C
1 1 3
Cartesian
0.0000 0.0000 0.0000
1.8311 1.8311 1.8311
0.0000 0.0000 1.8311
0.0000 1.8311 0.0000
1.8311 0.0000 0.0000
```

---

Entry 2:
A relaxed structure of BeGe2C, computed with PBE-GGA.

Output
The calculation puts the energy above the lowest structure with this stoichiometry at 0.0000 eV/atom. The calculation puts the final energy at -78.1 eV for the cell shown.

The structure in POSCAR format:
```
BeGe2C
1.0
5.1343 0.0000 0.0000
0.0000 5.1343 0.0000
0.0000 0.0000 9.0617
Be Ge C
4 8 4
Cartesian
0.0000 0.0000 0.0000
0.0000 2.5672 2.2654
2.5672 0.0000 6.7963
2.5672 2.5672 4.5309
1.0667 1.2836 5.6636
1.2836 3.6339 7.9290
1.2836 4.0676 3.3981
1.5004 1.2836 1.1327
3.6339 3.8507 1.1327
3.8507 1.0667 3.3981
3.8507 1.5004 7.9290
4.0676 3.8507 5.6636
0.0000 0.0000 4.5309
0.0000 2.5672 6.7963
2.5672 0.0000 2.2654
2.5672 2.5672 0.0000
```

---

Entry 3:
A relaxed structure of La2BeGeC, computed with PBE-GGA.

Output
The calculation puts the final energy at -29.3 eV for the cell shown.

The structure in POSCAR format:
```
La2BeGeC
1.0
5.4386 0.0000 0.0000
0.0000 5.4386 0.0000
0.0000 0.0000 3.4816
La Be Ge C
2 1 1 1
Cartesian
0.0000 2.7193 0.0000
2.7193 0.0000 0.0000
0.0000 0.0000 1.7408
2.7193 2.7193 1.7408
0.0000 0.0000 0.0000
```

---

Repeat the second record exactly.
A relaxed structure of BeGe2C, computed with PBE-GGA.

Output
The calculation puts the energy above the lowest structure with this stoichiometry at 0.0000 eV/atom. The calculation puts the final energy at -78.1 eV for the cell shown.

The structure in POSCAR format:
```
BeGe2C
1.0
5.1343 0.0000 0.0000
0.0000 5.1343 0.0000
0.0000 0.0000 9.0617
Be Ge C
4 8 4
Cartesian
0.0000 0.0000 0.0000
0.0000 2.5672 2.2654
2.5672 0.0000 6.7963
2.5672 2.5672 4.5309
1.0667 1.2836 5.6636
1.2836 3.6339 7.9290
1.2836 4.0676 3.3981
1.5004 1.2836 1.1327
3.6339 3.8507 1.1327
3.8507 1.0667 3.3981
3.8507 1.5004 7.9290
4.0676 3.8507 5.6636
0.0000 0.0000 4.5309
0.0000 2.5672 6.7963
2.5672 0.0000 2.2654
2.5672 2.5672 0.0000
```